# RbPaFeS4 (PBE-GGA, relaxed)
# ΔE_f (raw) in eV per atom: -1.17
data_RbPaFeS4
_space_group_name_H-M_alt 'P 1 21/m 1'
_space_group_IT_number 11
_space_group_name_Hall '-P 2yb'
_cell_length_a 6.371
_cell_length_b 6.303
_cell_length_c 9.260
_cell_angle_alpha 90.00
_cell_angle_beta 109.05
_cell_angle_gamma 90.00
loop_
_atom_site_label
_atom_site_type_symbol
_atom_site_fract_x
_atom_site_fract_y
_atom_site_fract_z
Rb1 Rb 0.244 0.250 0.447
Pa1 Pa 0.253 0.250 0.945
Fe1 Fe 0.270 0.750 0.160
S1 S 0.052 0.750 0.915
S2 S 0.072 0.750 0.320
S3 S 0.481 0.512 0.809

***

# Pa3Zn2Pd4 (PBE-GGA, relaxed)
# Formation energy in meV per atom: -523
data_Pa3Zn2Pd4
_space_group_name_H-M_alt 'C 1 2/m 1'
_space_group_IT_number 12
_space_group_name_Hall '-C 2y'
_cell_length_a 10.300
_cell_length_b 4.617
_cell_length_c 8.542
_cell_angle_alpha 90.00
_cell_angle_beta 121.95
_cell_angle_gamma 90.00
loop_
_atom_site_label
_atom_site_type_symbol
_atom_site_fract_x
_atom_site_fract_y
_atom_site_fract_z
Pa1 Pa 0.000 0.000 0.000
Pa2 Pa 0.154 0.500 0.676
Zn1 Zn 0.133 0.500 0.302
Pd1 Pd 0.064 0.000 0.387
Pd2 Pd 0.217 0.500 0.064

***

# Sc2MoPt2 (PBE-GGA, relaxed)
# Energy relative to the lowest polymorph listed for this composition in eV per formula unit: 2.43
# Formation energy in meV per atom: -139
data_Sc2MoPt2
_space_group_name_H-M_alt 'I 4/m m m'
_space_group_IT_number 139
_space_group_name_Hall '-I 4 2'
_cell_length_a 3.759
_cell_length_b 3.759
_cell_length_c 13.909
_cell_angle_alpha 90.00
_cell_angle_beta 90.00
_cell_angle_gamma 90.00
loop_
_atom_site_label
_atom_site_type_symbol
_atom_site_fract_x
_atom_site_fract_y
_atom_site_fract_z
Sc1 Sc 0.000 0.000 0.107
Mo1 Mo 0.000 0.000 0.500
Pt1 Pt 0.000 0.500 0.250

***

# Y8Zn2Co (PBE-GGA, relaxed)
# Energy relative to the lowest polymorph listed for this composition in eV per formula unit: 0.00
# Formation energy in meV per atom: -135
data_Y8Zn2Co
_space_group_name_H-M_alt 'C 1 2/m 1'
_space_group_IT_number 12
_space_group_name_Hall '-C 2y'
_cell_length_a 17.427
_cell_length_b 5.155
_cell_length_c 6.710
_cell_angle_alpha 90.00
_cell_angle_beta 105.64
_cell_angle_gamma 90.00
loop_
_atom_site_label
_atom_site_type_symbol
_atom_site_fract_x
_atom_site_fract_y
_atom_site_fract_z
Y1 Y 0.027 0.000 0.288
Y2 Y 0.089 0.500 0.932
Y3 Y 0.156 0.500 0.464
Y4 Y 0.202 0.000 0.815
Zn1 Zn 0.189 0.000 0.230
Co1 Co 0.000 0.500 0.500

***

no.,DOS at the Fermi energy (states/eV per cell)
1,9.4
2,18.3
3,7.7
4,18.5